# Sr2TaFe

A PBEsol-optimized structure of Sr2TaFe (SCAN, Alexandria via LeMat-Bulk).

The structure in POSCAR format:
```
Sr2TaFe
1.0
-1.2006 -2.4835 4.5742
0.1264 -5.3339 0.2560
3.8361 -2.4495 2.7958
Ta Sr Fe
1 2 1
direct
0.5000 0.5000 0.5000
0.2500 0.2500 0.2500
0.7500 0.7500 0.7500
0.0000 0.0000 0.0000
```

Computed properties:
As for the total energy: -31.02 eV/atom.

=====

# SrFe2Tc

A PBEsol-optimized structure of SrFe2Tc (SCAN, Alexandria via LeMat-Bulk).

The structure in POSCAR format:
```
SrFe2Tc
1.0
-3.3859 -2.1927 -0.5965
0.2530 -3.7559 -1.5676
-0.5908 -4.0509 4.3068
Tc Fe Sr
1 2 1
direct
0.5000 0.5000 0.5000
0.1895 0.1895 0.4315
0.8105 0.8105 0.5685
0.0000 0.0000 0.0000
```

Computed properties:
As for the total energy: -22.97 eV/atom.

=====

# Sr2FeTe

A PBEsol-optimized structure of Sr2FeTe (SCAN, Alexandria via LeMat-Bulk).

The structure in POSCAR format:
```
Sr2FeTe
1.0
-1.1852 3.9152 1.6346
-1.1119 -1.9543 3.8748
6.1275 1.8191 0.0860
Te Fe Sr
1 1 2
direct
0.5000 0.5620 0.1240
0.0000 0.6923 0.3847
0.0000 0.9783 0.9566
0.5000 0.2674 0.5347
```

Computed properties:
For the uncorrected formation energy, the calculation gives -457 meV/atom. As for the total energy: -25.44 eV/atom.

=====

# SrFeTe2

A PBEsol-optimized structure of SrFeTe2 (SCAN, Alexandria via LeMat-Bulk).

The structure in POSCAR format:
```
SrFeTe2
1.0
-4.4610 -1.0045 -0.0491
0.2994 -1.1182 -4.3231
1.1248 -5.1779 3.7337
Te Sr Fe
2 1 1
direct
0.5000 0.2754 0.5509
0.0000 0.9799 0.9597
0.5000 0.5588 0.1177
0.0000 0.1844 0.3687
```

Computed properties:
For the uncorrected formation energy, the calculation gives -750 meV/atom. As for the total energy: -29.48 eV/atom.

=====

# SrFeTe2

A PBEsol-optimized structure of SrFeTe2 (SCAN, Alexandria via LeMat-Bulk).

The structure in POSCAR format:
```
SrFeTe2
1.0
6.6206 0.0260 0.0000
-2.4870 6.1358 0.0000
-2.0668 -3.0809 5.4836
Te Sr Fe
4 2 2
direct
0.4553 0.3750 0.5803
0.6250 0.2053 0.0803
0.7947 0.8750 0.4197
0.1250 0.5447 0.9197
0.2500 0.7500 0.5000
0.0000 0.0000 0.0000
0.5000 0.5000 0.0000
0.7500 0.2500 0.5000
```

Computed properties:
For the uncorrected formation energy, the calculation gives -753 meV/atom. As for the total energy: -29.48 eV/atom.

=====

# Sr2FeTe

A PBEsol-optimized structure of Sr2FeTe (SCAN, Alexandria via LeMat-Bulk).

The structure in POSCAR format:
```
Sr2FeTe
1.0
-1.5464 -5.1337 0.2560
-0.9439 -2.7469 -4.5139
3.3636 -3.8954 -1.5243
Te Fe Sr
1 1 2
direct
0.2500 0.2500 0.2500
0.5000 0.5000 0.5000
0.0000 0.0000 0.0000
0.7500 0.7500 0.7500
```

Computed properties:
For the uncorrected formation energy, the calculation gives 153 meV/atom. As for the total energy: -24.83 eV/atom.

=====

# SrFe2Te

A PBEsol-optimized structure of SrFe2Te (SCAN, Alexandria via LeMat-Bulk).

The structure in POSCAR format:
```
SrFe2Te
1.0
3.3530 0.0000 0.0000
0.0000 3.3530 0.0000
0.0000 0.0000 7.2188
Fe Te Sr
2 1 1
direct
0.5000 0.5000 0.1671
0.0000 0.0000 0.0418
0.5000 0.5000 0.8162
0.0000 0.0000 0.4749
```

Computed properties:
For the uncorrected formation energy, the calculation gives 119 meV/atom. As for the total energy: -23.83 eV/atom.

=====

# Sr2FeTe

A PBEsol-optimized structure of Sr2FeTe (SCAN, Alexandria via LeMat-Bulk).

The structure in POSCAR format:
```
Sr2FeTe
1.0
-4.0708 0.7289 -1.8787
-1.9414 -2.5538 3.2158
2.3320 5.5100 2.5758
Fe Te Sr
1 1 2
direct
0.2500 0.7500 0.5000
0.5000 0.5000 0.0000
0.0000 0.0000 0.0000
0.7500 0.2500 0.5000
```

Computed properties:
For the uncorrected formation energy, the calculation gives -217 meV/atom. As for the total energy: -25.20 eV/atom.

=====

# SrFe2Te

A PBEsol-optimized structure of SrFe2Te (SCAN, Alexandria via LeMat-Bulk).

The structure in POSCAR format:
```
SrFe2Te
1.0
4.3160 0.0000 0.0000
0.0000 4.3160 0.0000
0.0000 0.0000 4.2940
Fe Te Sr
2 1 1
direct
0.5000 0.0000 0.0000
0.0000 0.5000 0.0000
0.0000 0.0000 0.5000
0.5000 0.5000 0.5000
```

Computed properties:
For the uncorrected formation energy, the calculation gives 372 meV/atom. As for the total energy: -23.57 eV/atom.

=====

# SrFeTe2

A PBEsol-optimized structure of SrFeTe2 (SCAN, Alexandria via LeMat-Bulk).

The structure in POSCAR format:
```
SrFeTe2
1.0
-2.9277 0.4945 -2.7890
-1.1043 -3.1241 -2.3697
-5.9786 -2.6853 2.8248
Sr Te Fe
1 2 1
direct
0.0000 0.0000 0.0000
0.7754 0.7754 0.6738
0.2246 0.2246 0.3262
0.5000 0.5000 0.5000
```

Computed properties:
For the uncorrected formation energy, the calculation gives -594 meV/atom. As for the total energy: -29.32 eV/atom.

=====

# SrFe2Te

A PBEsol-optimized structure of SrFe2Te (SCAN, Alexandria via LeMat-Bulk).

The structure in POSCAR format:
```
SrFe2Te
1.0
4.0658 0.0000 0.0000
2.0329 3.5211 0.0000
2.0329 1.1737 5.7811
Fe Sr Te
2 1 1
direct
0.6957 0.6957 0.9130
0.0192 0.0192 0.9424
0.4875 0.4875 0.5376
0.2915 0.2915 0.1255
```

Computed properties:
For the uncorrected formation energy, the calculation gives -104 meV/atom. As for the total energy: -24.05 eV/atom.

=====

# SrFeW

A PBEsol-optimized structure of SrFeW (SCAN, Alexandria via LeMat-Bulk).

The structure in POSCAR format:
```
SrFeW
1.0
-3.2883 -1.0023 0.6347
2.3115 -2.2931 -1.2724
1.6216 -1.6134 5.8536
Fe Sr W
1 1 1
direct
0.0000 0.0000 0.0678
0.3333 0.6667 0.6982
0.6667 0.3333 0.2341
```

Computed properties:
As for the total energy: -35.61 eV/atom.